(1)
Density functional theory data (PBE) for crystalline KZr2Hg at its relaxed geometry.

Cell: 3.194 5.400 6.048 Å, 90.00 90.00 90.00°
Atoms (fractional coordinates):
K1 0.000 0.000 0.000
Zr1 0.000 0.500 0.500
Zr2 0.500 0.000 0.500
Hg1 0.500 0.500 0.000

## Properties
For the total magnetization, the calculation gives 0.000 μB/cell. Its crystal system is orthorhombic. The formation energy is 499 meV per atom. The calculation puts the uncorrected energy at -4.125 eV per atom.

---

(2)
Density functional theory data (PBE) for crystalline TbCe3Pm4N8 at its relaxed geometry.

Cell: 7.154 7.154 7.154 Å, 59.99 59.99 59.99°
Atoms (fractional coordinates):
Tb1 0.000 0.000 0.000
Ce1 0.000 0.500 0.500
Ce2 0.500 0.000 0.500
Ce3 0.500 0.500 0.000
Pm1 0.000 0.000 0.500
Pm2 0.000 0.500 0.000
Pm3 0.500 0.000 0.000
Pm4 0.500 0.500 0.500
N1 0.247 0.247 0.744
N2 0.247 0.744 0.247
N3 0.254 0.254 0.254
N4 0.256 0.753 0.753
N5 0.744 0.247 0.247
N6 0.746 0.746 0.746
N7 0.753 0.256 0.753
N8 0.753 0.753 0.256

## Properties
For the total magnetization, the calculation gives 0.004 μB/cell. The calculation puts the energy relative to the elements, uncorrected at -1.506 eV per atom. Its crystal system is trigonal. The calculation puts the uncorrected energy at -8.259 eV per atom.

---

(3)
Density functional theory data (PBE) for crystalline YTaSb2 at its relaxed geometry.

Cell: 6.008 6.008 6.008 Å, 142.72 132.90 61.55°
Atoms (fractional coordinates):
Y1 0.000 0.000 0.000
Ta1 0.738 0.238 0.500
Sb1 0.255 0.755 0.500
Sb2 0.532 0.532 0.000

## Properties
The offset from the most stable computed form is 19.5 kJ per mole of atoms. For the total magnetization, the calculation gives 0.000 μB/cell. The calculation puts the energy relative to the elements, uncorrected at -0.116 eV per atom. Its crystal system is orthorhombic. The calculation puts the uncorrected energy at -6.756 eV per atom.

---

(4)
Density functional theory data (PBE) for crystalline SrCuMo2 at its relaxed geometry.

Cell: 5.646 5.646 5.646 Å, 145.87 122.80 68.31°
Atoms (fractional coordinates):
Sr1 0.000 0.000 0.000
Cu1 0.285 0.785 0.500
Mo1 0.520 0.520 0.000
Mo2 0.705 0.205 0.500

## Properties
The offset from the most stable computed form is 35.6 kJ per mole of atoms. For the total magnetization, the calculation gives 0.000 μB/cell. Its crystal system is orthorhombic. The formation energy is 831 meV per atom. The calculation puts the uncorrected energy at -6.029 eV per atom.

---

(5)
Density functional theory data (PBE) for crystalline CoBi3Sb at its relaxed geometry.

Cell: 5.818 5.818 5.818 Å, 90.00 90.00 90.00°
Atoms (fractional coordinates):
Co1 0.000 0.000 0.000
Bi1 0.000 0.500 0.500
Bi2 0.500 0.000 0.500
Bi3 0.500 0.500 0.000
Sb1 0.500 0.500 0.500

## Properties
For the total magnetization, the calculation gives 1.586 μB/cell. The calculation puts the energy relative to the elements, uncorrected at 1.404 eV per atom. Its crystal system is cubic. The calculation puts the uncorrected energy at -3.170 eV per atom.

---

(6)
Density functional theory data (PBE) for crystalline CoAgAs2 at its relaxed geometry.

Cell: 7.945 7.945 7.945 Å, 22.89 22.89 22.89°
Atoms (fractional coordinates):
Co1 0.000 0.000 0.000
Ag1 0.500 0.500 0.500
As1 0.266 0.266 0.266
As2 0.734 0.734 0.734

## Properties
The offset from the most stable computed form is 2.5 kJ per mole of atoms. For the total magnetization, the calculation gives 0.274 μB/cell. Its crystal system is trigonal. The formation energy is 51 meV per atom. The calculation puts the uncorrected energy at -4.763 eV per atom.

---

(7)
Density functional theory data (PBE) for crystalline TaAsWBr2 at its relaxed geometry.

Cell: 5.058 5.058 4.985 Å, 90.00 90.00 90.00°
Atoms (fractional coordinates):
Ta1 0.000 0.000 0.000
As1 0.500 0.500 0.000
W1 0.500 0.500 0.500
Br1 0.000 0.500 0.500
Br2 0.500 0.000 0.500

## Properties
The offset from the most stable computed form is 16.4 kJ per mole of atoms. For the total magnetization, the calculation gives 5.004 μB/cell. The calculation puts the energy relative to the elements, uncorrected at 1.425 eV per atom. Its crystal system is tetragonal. The calculation puts the uncorrected energy at -5.135 eV per atom.

---

(8)
Density functional theory data (PBE) for crystalline Zr2ZnBr at its relaxed geometry.

Cell: 9.133 9.133 9.133 Å, 20.68 20.68 20.68°
Atoms (fractional coordinates):
Zr1 0.248 0.248 0.248
Zr2 0.752 0.752 0.752
Zn1 0.500 0.500 0.500
Br1 0.000 0.000 0.000

## Properties
The offset from the most stable computed form is 9.5 kJ per mole of atoms. For the total magnetization, the calculation gives 0.001 μB/cell. The calculation puts the energy relative to the elements, uncorrected at -0.206 eV per atom. Its crystal system is trigonal. The calculation puts the uncorrected energy at -5.217 eV per atom.

---

(9)
Density functional theory data (PBE) for crystalline Na2Pu2Cl7 at its relaxed geometry.

Cell: 6.848 6.848 7.117 Å, 95.28 95.28 82.52°
Atoms (fractional coordinates):
Na1 0.221 0.779 0.000
Na2 0.779 0.221 0.000
Pu1 0.225 0.225 0.499
Pu2 0.775 0.775 0.501
Cl1 0.020 0.020 0.739
Cl2 0.022 0.520 0.750
Cl3 0.480 0.978 0.250
Cl4 0.500 0.500 0.500
Cl5 0.520 0.022 0.750
Cl6 0.978 0.480 0.250
Cl7 0.980 0.980 0.261

## Properties
The offset from the most stable computed form is 0.0 kJ per mole of atoms. For the total magnetization, the calculation gives 11.000 μB/cell. The calculation puts the energy relative to the elements, uncorrected at -1.839 eV per atom. Its crystal system is monoclinic. The calculation puts the uncorrected energy at -5.860 eV per atom.

---

(10)
Density functional theory data (PBE) for crystalline CdFeW2 at its relaxed geometry.

Cell: 3.718 3.954 4.313 Å, 90.00 90.00 90.00°
Atoms (fractional coordinates):
Cd1 0.000 0.000 0.000
Fe1 0.500 0.500 0.000
W1 0.000 0.500 0.500
W2 0.500 0.000 0.500

## Properties
For the total magnetization, the calculation gives 2.492 μB/cell. Its crystal system is orthorhombic. The formation energy is 549 meV per atom. The calculation puts the uncorrected energy at -8.272 eV per atom.

---

(11)
Density functional theory data (PBE) for crystalline Hg2Rh2O at its relaxed geometry.

Cell: 5.711 5.711 5.343 Å, 90.00 90.00 90.00°
Atoms (fractional coordinates):
Hg1 0.181 0.319 0.000
Hg2 0.319 0.819 0.000
Hg3 0.681 0.181 0.000
Hg4 0.819 0.681 0.000
Rh1 0.214 0.714 0.500
Rh2 0.286 0.214 0.500
Rh3 0.714 0.786 0.500
Rh4 0.786 0.286 0.500
O1 0.000 0.000 0.500
O2 0.500 0.500 0.500

## Properties
The offset from the most stable computed form is 0.0 kJ per mole of atoms. For the total magnetization, the calculation gives 0.000 μB/cell. The calculation puts the energy relative to the elements, uncorrected at 0.105 eV per atom. Its crystal system is tetragonal. The calculation puts the uncorrected energy at -3.947 eV per atom.

---

(12)
Density functional theory data (PBE) for crystalline Ce2PmIn3 at its relaxed geometry.

Cell: 3.455 3.455 13.934 Å, 90.00 90.00 90.00°
Atoms (fractional coordinates):
Ce1 0.000 0.000 0.168
Ce2 0.000 0.000 0.832
Pm1 0.000 0.000 0.500
In1 0.500 0.500 0.000
In2 0.500 0.500 0.334
In3 0.500 0.500 0.666

## Properties
For the total magnetization, the calculation gives 2.267 μB/cell. Its crystal system is tetragonal. The formation energy is -400 meV per atom. The calculation puts the uncorrected energy at -4.539 eV per atom.

---

(13)
Density functional theory data (PBE) for crystalline PaBeFe2 at its relaxed geometry.

Cell: 2.926 2.926 6.410 Å, 90.00 90.00 90.00°
Atoms (fractional coordinates):
Pa1 0.000 0.000 0.000
Be1 0.000 0.000 0.500
Fe1 0.500 0.500 0.325
Fe2 0.500 0.500 0.675

## Properties
The offset from the most stable computed form is 22.0 kJ per mole of atoms. For the total magnetization, the calculation gives 3.080 μB/cell. Its crystal system is tetragonal. The formation energy is 56 meV per atom. The calculation puts the uncorrected energy at -7.481 eV per atom.

---

(14)
Density functional theory data (PBE) for crystalline Ho6TlTe3Se2 at its relaxed geometry.

Cell: 7.317 7.317 7.474 Å, 99.38 99.38 119.75°
Atoms (fractional coordinates):
Ho1 0.084 0.424 0.772
Ho2 0.234 0.234 0.225
Ho3 0.424 0.084 0.772
Ho4 0.576 0.916 0.228
Ho5 0.766 0.766 0.775
Ho6 0.916 0.576 0.228
Tl1 0.500 0.500 0.000
Te1 0.000 0.000 0.500
Te2 0.335 0.665 0.500
Te3 0.665 0.335 0.500
Se1 0.167 0.833 0.000
Se2 0.833 0.167 0.000

## Properties
For the total magnetization, the calculation gives 0.000 μB/cell. The calculation puts the energy relative to the elements, uncorrected at -1.275 eV per atom. Its crystal system is monoclinic. The calculation puts the uncorrected energy at -5.128 eV per atom.

---

(15)
Density functional theory data (PBE) for crystalline PmNdGe2Pt5 at its relaxed geometry.

Cell: 4.334 4.334 9.084 Å, 90.00 90.00 90.00°
Atoms (fractional coordinates):
Pm1 0.000 0.000 0.000
Nd1 0.000 0.000 0.500
Ge1 0.500 0.500 0.137
Ge2 0.500 0.500 0.863
Pt1 0.000 0.500 0.271
Pt2 0.000 0.500 0.729
Pt3 0.500 0.000 0.271
Pt4 0.500 0.000 0.729
Pt5 0.500 0.500 0.500

## Properties
For the total magnetization, the calculation gives 0.000 μB/cell. Its crystal system is tetragonal. The formation energy is -897 meV per atom. The calculation puts the uncorrected energy at -6.337 eV per atom.

---

(16)
Density functional theory data (PBE) for crystalline Ta2MnHPt at its relaxed geometry.

Cell: 4.080 4.080 3.892 Å, 90.00 90.00 90.00°
Atoms (fractional coordinates):
Ta1 0.000 0.500 0.000
Ta2 0.500 0.000 0.000
Mn1 0.000 0.000 0.500
H1 0.000 0.000 0.000
Pt1 0.500 0.500 0.500

## Properties
For the total magnetization, the calculation gives 1.335 μB/cell. Its crystal system is tetragonal. The calculation puts the uncorrected energy at -8.720 eV per atom.

---

(17)
Density functional theory data (PBE) for crystalline HfScNi2 at its relaxed geometry.

Cell: 3.304 4.189 5.015 Å, 90.00 109.09 90.00°
Atoms (fractional coordinates):
Hf1 0.000 0.000 0.000
Sc1 0.720 0.500 0.440
Ni1 0.282 0.000 0.562
Ni2 0.442 0.500 0.886

## Properties
For the total magnetization, the calculation gives 0.000 μB/cell. Its crystal system is monoclinic. The formation energy is -504 meV per atom. The calculation puts the uncorrected energy at -7.466 eV per atom.

---

(18)
Density functional theory data (PBE) for crystalline Pm3Nd8Y2 at its relaxed geometry.

Cell: 8.934 8.934 6.255 Å, 107.18 107.18 83.79°
Atoms (fractional coordinates):
Pm1 0.000 0.000 0.000
Pm2 0.245 0.755 0.500
Pm3 0.755 0.245 0.500
Nd1 0.084 0.571 0.828
Nd2 0.152 0.152 0.550
Nd3 0.429 0.916 0.172
Nd4 0.444 0.444 0.715
Nd5 0.556 0.556 0.285
Nd6 0.571 0.084 0.828
Nd7 0.848 0.848 0.450
Nd8 0.916 0.429 0.172
Y1 0.288 0.288 0.145
Y2 0.712 0.712 0.855

## Properties
The offset from the most stable computed form is 0.0 kJ per mole of atoms. For the total magnetization, the calculation gives 0.000 μB/cell. Its crystal system is monoclinic. The formation energy is 156 meV per atom. The calculation puts the uncorrected energy at -4.869 eV per atom.

---

(19)
Density functional theory data (PBE) for crystalline HfSc2CoGe at its relaxed geometry.

Cell: 5.040 5.040 4.284 Å, 90.00 90.00 90.00°
Atoms (fractional coordinates):
Hf1 0.000 0.000 0.000
Sc1 0.000 0.500 0.500
Sc2 0.500 0.000 0.500
Co1 0.500 0.500 0.000
Ge1 0.500 0.500 0.500

## Properties
For the total magnetization, the calculation gives 1.449 μB/cell. Its crystal system is tetragonal. The formation energy is 357 meV per atom. The calculation puts the uncorrected energy at -6.511 eV per atom.

---

(20)
Density functional theory data (PBE) for crystalline Pm6DyY2Er3 at its relaxed geometry.

Cell: 6.238 6.238 11.810 Å, 95.03 95.03 119.98°
Atoms (fractional coordinates):
Pm1 0.084 0.417 0.752
Pm2 0.249 0.249 0.248
Pm3 0.417 0.084 0.752
Pm4 0.583 0.916 0.248
Pm5 0.751 0.751 0.752
Pm6 0.916 0.583 0.248
Dy1 0.000 0.000 0.500
Y1 0.333 0.667 0.500
Y2 0.667 0.333 0.500
Er1 0.167 0.833 0.000
Er2 0.500 0.500 0.000
Er3 0.833 0.167 0.000

## Properties
For the total magnetization, the calculation gives 0.000 μB/cell. Its crystal system is monoclinic. The formation energy is 13 meV per atom. The calculation puts the uncorrected energy at -4.964 eV per atom.